Record 1
## BaNpPt (PBE)

Data for crystalline BaNpPt at its relaxed geometry.

abc: 6.8397 6.8397 6.8397
angles: 90.00 90.00 90.00
Last column: nearest neighbours and their distance in Å.
Fractional coordinates of all 12 atoms:
Ba: 0.0000 0.0000 0.0000  4 Np 2.96
Ba: 0.0000 0.5000 0.5000  4 Np 2.96
Ba: 0.5000 0.0000 0.5000  4 Np 2.96
Ba: 0.5000 0.5000 0.0000  4 Np 2.96
Np: 0.2500 0.2500 0.2500  4 Ba 2.96, 4 Pt 2.96
Np: 0.2500 0.7500 0.7500  4 Ba 2.96, 4 Pt 2.96
Np: 0.7500 0.2500 0.7500  4 Ba 2.96, 4 Pt 2.96
Np: 0.7500 0.7500 0.2500  4 Ba 2.96, 4 Pt 2.96
Pt: 0.0000 0.0000 0.5000  4 Np 2.96
Pt: 0.0000 0.5000 0.0000  4 Np 2.96
Pt: 0.5000 0.0000 0.0000  4 Np 2.96
Pt: 0.5000 0.5000 0.5000  4 Np 2.96

Properties
Energy (eV/cell): -77.84
Energy above the most stable polymorph in this dataset (eV/f.u.): 0.000


Record 2
## Tm3Lu3Sb2Os (PBE)

Data for crystalline Tm3Lu3Sb2Os at its relaxed geometry.

abc: 8.0247 8.0247 4.1759
angles: 90.00 90.00 120.00
Last column: nearest neighbours and their distance in Å.
Fractional coordinates of all 9 atoms:
Tm: 0.0000 0.3873 0.0000  1 Os 3.11, 4 Sb 3.25, 4 Lu 3.42
Tm: 0.3873 0.0000 0.0000  1 Os 3.11, 4 Sb 3.25, 4 Lu 3.42
Tm: 0.6127 0.6127 0.0000  1 Os 3.11, 4 Sb 3.25, 4 Lu 3.42
Lu: 0.0000 0.7630 0.5000  2 Os 2.82, 2 Sb 3.13
Lu: 0.2370 0.2370 0.5000  2 Os 2.82, 2 Sb 3.13
Lu: 0.7630 0.0000 0.5000  2 Os 2.82, 2 Sb 3.13
Sb: 0.3333 0.6667 0.5000  3 Lu 3.13, 6 Tm 3.25
Sb: 0.6667 0.3333 0.5000  3 Lu 3.13, 6 Tm 3.25
Os: 0.0000 0.0000 0.0000  6 Lu 2.82, 3 Tm 3.11

Properties
Energy (eV/cell): -52.70
Energy above the most stable polymorph in this dataset (eV/f.u.): 0.000


Record 3
## SmDyBr2O2 (PBE)

Data for crystalline SmDyBr2O2 at its relaxed geometry.

abc: 3.8721 3.8721 8.4320
angles: 90.00 90.00 90.00
Last column: nearest neighbours and their distance in Å.
Fractional coordinates of all 6 atoms:
Sm: 0.0000 0.0000 0.0000  4 O 2.29
Dy: 0.5000 0.5000 0.7227  4 O 2.24
Br: 0.0000 0.0000 0.5267  4 Dy 3.20, 4 O 3.38
Br: 0.5000 0.5000 0.1945  4 Sm 3.19, 4 O 3.45
O: 0.0000 0.5000 0.8553  2 Dy 2.24, 2 Sm 2.29
O: 0.5000 0.0000 0.8553  2 Dy 2.24, 2 Sm 2.29

Properties
Energy (eV/cell): -39.99


Record 4
## SmHfOs (PBE)

Data for crystalline SmHfOs at its relaxed geometry.

abc: 6.5446 6.5446 6.5446
angles: 90.00 90.00 90.00
Last column: nearest neighbours and their distance in Å.
Fractional coordinates of all 12 atoms:
Sm: 0.0000 0.0000 0.0000  4 Hf 2.83, 4 Os 2.83
Sm: 0.0000 0.5000 0.5000  4 Hf 2.83, 4 Os 2.83
Sm: 0.5000 0.0000 0.5000  4 Hf 2.83, 4 Os 2.83
Sm: 0.5000 0.5000 0.0000  4 Hf 2.83, 4 Os 2.83
Hf: 0.2500 0.2500 0.7500  4 Sm 2.83
Hf: 0.2500 0.7500 0.2500  4 Sm 2.83
Hf: 0.7500 0.2500 0.2500  4 Sm 2.83
Hf: 0.7500 0.7500 0.7500  4 Sm 2.83
Os: 0.2500 0.2500 0.2500  4 Sm 2.83
Os: 0.2500 0.7500 0.7500  4 Sm 2.83
Os: 0.7500 0.2500 0.7500  4 Sm 2.83
Os: 0.7500 0.7500 0.2500  4 Sm 2.83

Properties
Energy (eV/cell): -90.37
DFT formation energy (meV/atom): 1100


Record 5
## PaIrPd2 (PBE)

Data for crystalline PaIrPd2 at its relaxed geometry.

abc: 4.0373 4.0373 4.2888
angles: 90.00 90.00 90.00
Last column: nearest neighbours and their distance in Å.
Fractional coordinates of all 4 atoms:
Pa: 0.0000 0.0000 0.0000  4 Ir 2.85, 8 Pd 2.95
Ir: 0.5000 0.5000 0.0000  4 Pa 2.85, 8 Pd 2.95
Pd: 0.0000 0.5000 0.5000  4 Pd 2.85, 4 Pa 2.95, 4 Ir 2.95
Pd: 0.5000 0.0000 0.5000  4 Pd 2.85, 4 Pa 2.95, 4 Ir 2.95

Properties
Energy (eV/cell): -32.06
DFT formation energy (meV/atom): -840


Record 6
## MgInNiOs (PBE)

Data for crystalline MgInNiOs at its relaxed geometry.

abc: 6.2777 6.2777 6.2777
angles: 90.00 90.00 90.00
Last column: nearest neighbours and their distance in Å.
Fractional coordinates of all 16 atoms:
Mg: 0.0000 0.0000 0.0000  4 In 2.72, 4 Os 2.72
Mg: 0.0000 0.5000 0.5000  4 In 2.72, 4 Os 2.72
Mg: 0.5000 0.0000 0.5000  4 In 2.72, 4 Os 2.72
Mg: 0.5000 0.5000 0.0000  4 In 2.72, 4 Os 2.72
In: 0.2500 0.2500 0.2500  4 Ni 2.72, 4 Mg 2.72
In: 0.2500 0.7500 0.7500  4 Ni 2.72, 4 Mg 2.72
In: 0.7500 0.2500 0.7500  4 Ni 2.72, 4 Mg 2.72
In: 0.7500 0.7500 0.2500  4 Ni 2.72, 4 Mg 2.72
Ni: 0.0000 0.0000 0.5000  4 Os 2.72, 4 In 2.72
Ni: 0.0000 0.5000 0.0000  4 Os 2.72, 4 In 2.72
Ni: 0.5000 0.0000 0.0000  4 Os 2.72, 4 In 2.72
Ni: 0.5000 0.5000 0.5000  4 Os 2.72, 4 In 2.72
Os: 0.2500 0.2500 0.7500  4 Ni 2.72, 4 Mg 2.72
Os: 0.2500 0.7500 0.2500  4 Ni 2.72, 4 Mg 2.72
Os: 0.7500 0.2500 0.2500  4 Ni 2.72, 4 Mg 2.72
Os: 0.7500 0.7500 0.7500  4 Ni 2.72, 4 Mg 2.72

Properties
Energy (eV/cell): -79.12


Per-record magnetic moment, μB/f.u.: 4.47, 0.01, 0.01, 0.00, 0.00, 0.06